No. 1
VASP calculation (PBE-GGA) on a relaxed structure of CuSiW2.

Results
formation energy (no corrections) = 0.289 eV per formula unit

a = 4.2148 Å, b = 2.7425 Å, c = 5.0397 Å
α = 78.37°, β = 90.00°, γ = 90.00°
Fractional coordinates of all 4 atoms:
Cu  0.0000  0.6566  0.5049
W  0.5000  0.2473  0.2685
W  0.0000  0.0158  0.9848
Si  0.5000  0.5803  0.7418

No. 2
VASP calculation (PBE-GGA) on a relaxed structure of CuSiW2.

Results
formation energy (no corrections) = 0.643 eV per formula unit

a = 3.2670 Å, b = 3.2670 Å, c = 5.4697 Å
α = 90.00°, β = 90.00°, γ = 90.00°
Fractional coordinates of all 4 atoms:
W  0.5000  0.5000  0.2485
W  0.0000  0.0000  0.0043
Si  0.5000  0.5000  0.7306
Cu  0.0000  0.0000  0.5166

No. 3
VASP calculation (PBE-GGA) on a relaxed structure of Cu3SiW.

Results
formation energy (no corrections) = 5.405 eV per formula unit

a = 4.2299 Å, b = 4.2299 Å, c = 4.2299 Å
α = 90.00°, β = 90.00°, γ = 90.00°
Fractional coordinates of all 5 atoms:
W  0.5000  0.5000  0.5000
Cu  0.0000  0.5000  0.0000
Cu  0.5000  0.0000  0.0000
Cu  0.0000  0.0000  0.5000
Si  0.0000  0.0000  0.0000

No. 4
VASP calculation (PBE-GGA) on a relaxed structure of Cu2SiW.

Results
formation energy (no corrections) = 0.841 eV per formula unit

a = 4.7910 Å, b = 4.7910 Å, c = 2.6651 Å
α = 90.00°, β = 90.00°, γ = 116.87°
Fractional coordinates of all 4 atoms:
Si  0.5000  0.0000  0.5000
Cu  0.0000  0.0000  0.0000
Cu  0.5000  0.5000  0.0000
W  0.0000  0.5000  0.5000

No. 5
VASP calculation (PBE-GGA) on a relaxed structure of CuSi2W.

Results
formation energy (no corrections) = 0.381 eV per formula unit

a = 4.8680 Å, b = 4.8680 Å, c = 4.8680 Å
α = 136.60°, β = 136.60°, γ = 63.06°
Fractional coordinates of all 4 atoms:
W  0.5000  0.5000  0.0000
Si  0.0000  0.0000  0.0000
Si  0.2500  0.7500  0.5000
Cu  0.7500  0.2500  0.5000

No. 6
VASP calculation (PBE-GGA) on a relaxed structure of CuSiW2.

Results
formation energy (no corrections) = 1.237 eV per formula unit

a = 4.3416 Å, b = 4.3416 Å, c = 4.3416 Å
α = 60.00°, β = 60.00°, γ = 60.00°
Fractional coordinates of all 4 atoms:
W  0.0000  0.0000  0.0000
W  0.7500  0.7500  0.7500
Si  0.2500  0.2500  0.2500
Cu  0.5000  0.5000  0.5000

No. 7
VASP calculation (PBE-GGA) on a relaxed structure of CuSi2W.

Results
formation energy (no corrections) = -0.067 eV per formula unit

a = 3.3144 Å, b = 3.3144 Å, c = 5.0384 Å
α = 90.00°, β = 90.00°, γ = 90.00°
Fractional coordinates of all 4 atoms:
Si  0.0000  0.0000  0.9763
Si  0.5000  0.5000  0.2658
Cu  0.5000  0.5000  0.7830
W  0.0000  0.0000  0.4748

No. 8
VASP calculation (PBE-GGA) on a relaxed structure of CuSiW2.

Results
formation energy (no corrections) = 0.772 eV per formula unit

a = 2.7548 Å, b = 2.7548 Å, c = 8.0371 Å
α = 90.00°, β = 90.00°, γ = 106.46°
Fractional coordinates of all 4 atoms:
Si  0.5000  0.5000  0.7397
W  0.5000  0.5000  0.2573
W  0.0000  0.0000  0.9849
Cu  0.0000  0.0000  0.5181

No. 9
VASP calculation (PBE-GGA) on a relaxed structure of Y3Cu2Si3.

Results
formation energy (no corrections) = -5.380 eV per formula unit

a = 4.0925 Å, b = 5.6528 Å, c = 14.6410 Å
α = 90.00°, β = 90.00°, γ = 111.22°
Fractional coordinates of all 16 atoms:
Si  0.2933  0.5867  0.2500
Si  0.4173  0.8345  0.5545
Si  0.7067  0.4133  0.7500
Si  0.4173  0.8345  0.9455
Si  0.5827  0.1655  0.4455
Si  0.5827  0.1655  0.0545
Y  0.4227  0.8453  0.7500
Y  0.5773  0.1547  0.2500
Y  0.1362  0.2725  0.5967
Y  0.8638  0.7275  0.4033
Y  0.1362  0.2725  0.9033
Y  0.8638  0.7275  0.0967
Cu  0.8456  0.6912  0.8840
Cu  0.1544  0.3088  0.1160
Cu  0.1544  0.3088  0.3840
Cu  0.8456  0.6912  0.6160

No. 10
VASP calculation (PBE-GGA) on a relaxed structure of Y2CuSi.

Results
formation energy (no corrections) = -1.702 eV per formula unit

a = 4.9507 Å, b = 4.9504 Å, c = 3.4918 Å
α = 90.00°, β = 90.00°, γ = 90.00°
Fractional coordinates of all 4 atoms:
Y  0.0000  0.0000  0.0000
Y  0.5000  0.5000  0.0000
Si  0.0000  0.5000  0.5000
Cu  0.5000  0.0000  0.5000

No. 11
VASP calculation (PBE-GGA) on a relaxed structure of YCuSi.

Results
formation energy (no corrections) = -1.883 eV per formula unit

a = 5.6284 Å, b = 7.2141 Å, c = 4.1008 Å
α = 90.01°, β = 68.68°, γ = 50.14°
Fractional coordinates of all 6 atoms:
Y  0.1101  0.7621  0.4052
Y  0.1367  0.2494  0.8938
Si  0.6230  0.6719  0.6497
Si  0.6238  0.3396  0.6493
Cu  0.6239  0.1793  0.1492
Cu  0.6229  0.8321  0.1497

No. 12
VASP calculation (PBE-GGA) on a relaxed structure of YCuSi.

Results
formation energy (no corrections) = -0.785 eV per formula unit

a = 4.8036 Å, b = 4.8036 Å, c = 5.7211 Å
α = 90.00°, β = 90.00°, γ = 120.00°
Fractional coordinates of all 6 atoms:
Cu  0.0000  0.0000  0.0000
Cu  0.0000  0.0000  0.5000
Si  0.3333  0.6667  0.7500
Si  0.6667  0.3333  0.2500
Y  0.6667  0.3333  0.7500
Y  0.3333  0.6667  0.2500

No. 13
VASP calculation (PBE-GGA) on a relaxed structure of Y3Cu3Si.

Results
formation energy (no corrections) = -2.825 eV per formula unit

a = 4.0779 Å, b = 5.5023 Å, c = 13.8918 Å
α = 85.47°, β = 81.56°, γ = 68.25°
Fractional coordinates of all 14 atoms:
Cu  0.8596  0.7410  0.5398
Cu  0.1048  0.8682  0.9222
Cu  0.0438  0.1489  0.7635
Cu  0.8952  0.1318  0.0778
Cu  0.1404  0.2590  0.4602
Cu  0.9562  0.8511  0.2365
Si  0.2462  0.8972  0.6103
Si  0.7538  0.1028  0.3897
Y  0.3980  0.2844  0.9196
Y  0.2478  0.2694  0.2351
Y  0.4612  0.6859  0.3917
Y  0.7522  0.7306  0.7649
Y  0.6020  0.7156  0.0804
Y  0.5388  0.3141  0.6083

No. 14
VASP calculation (PBE-GGA) on a relaxed structure of YCu4Si.

Results
formation energy (no corrections) = -0.734 eV per formula unit

a = 5.0299 Å, b = 5.0299 Å, c = 5.0299 Å
α = 60.00°, β = 60.00°, γ = 60.00°
Fractional coordinates of all 6 atoms:
Cu  0.3756  0.8731  0.3756
Cu  0.3756  0.3756  0.8731
Cu  0.8731  0.3756  0.3756
Cu  0.3756  0.3756  0.3756
Si  0.7500  0.7500  0.7500
Y  0.0000  0.0000  0.0000